Entry 1:
VASP calculation (PBE) on crystalline La4TlCoHg at its relaxed geometry.

Properties
Energy relative to the elements (eV per formula unit): -1.8
Volume (A^3/atom): 31.9
Uncorrected energy (eV/atom): -4.474

Unit cell a=7.3669 b=16.5085 c=7.3464 alpha=90.00 beta=90.00 gamma=90.00
Space group Cmcm (No. 63)
Inequivalent atoms, fractional coordinates:
La  0.0000  0.0709  0.2500 (multiplicity 4)
La  0.0000  0.4249  0.2500 (multiplicity 4)
La  0.2500  0.2500  0.0000 (multiplicity 8)
Tl  0.0000  0.3847  0.7500 (multiplicity 4)
Co  0.0000  0.2466  0.2500 (multiplicity 4)
Hg  0.0000  0.1182  0.7500 (multiplicity 4)

***

Entry 2:
VASP calculation (PBE) on crystalline YTmSc2 at its relaxed geometry.

Properties
Energy relative to the elements (eV per formula unit): 0.4
Volume (A^3/atom): 27.8
Uncorrected energy (eV/atom): -5.799

Unit cell a=7.6347 b=7.6347 c=7.6347 alpha=90.00 beta=90.00 gamma=90.00
Space group Fm-3m (No. 225)
Inequivalent atoms, fractional coordinates:
Y  0.0000  0.0000  0.0000 (multiplicity 4)
Tm  0.0000  0.0000  0.5000 (multiplicity 4)
Sc  0.2500  0.2500  0.2500 (multiplicity 8)

***

Entry 3:
VASP calculation (PBE) on crystalline CePr5P6 at its relaxed geometry.

Properties
Energy relative to the elements (eV per formula unit): -18.3
Volume (A^3/atom): 25.9
Uncorrected energy (eV/atom): -6.714

Unit cell a=7.2428 b=12.5444 c=7.2445 alpha=90.00 beta=109.46 gamma=90.00
Space group C2/m (No. 12)
Inequivalent atoms, fractional coordinates:
Ce  0.0000  0.0000  0.0000 (multiplicity 2)
Pr  0.0000  0.1677  0.5000 (multiplicity 4)
Pr  0.0000  0.3337  0.0000 (multiplicity 4)
Pr  0.0000  0.5000  0.5000 (multiplicity 2)
P  0.2439  0.0000  0.7545 (multiplicity 4)
P  0.2448  0.1630  0.2458 (multiplicity 8)

***

Entry 4:
VASP calculation (PBE) on crystalline Sr2TcPt at its relaxed geometry.

Properties
Energy relative to the elements (eV per formula unit): 1.8
Volume (A^3/atom): 25.3
Uncorrected energy (eV/atom): -4.496

Unit cell a=4.4288 b=4.4288 c=10.2996 alpha=90.00 beta=90.00 gamma=90.00
Space group I-4m2 (No. 119)
Inequivalent atoms, fractional coordinates:
Sr  0.0000  0.0000  0.0000 (multiplicity 2)
Sr  0.0000  0.5000  0.2500 (multiplicity 2)
Tc  0.0000  0.5000  0.7500 (multiplicity 2)
Pt  0.0000  0.0000  0.5000 (multiplicity 2)

***

Entry 5:
VASP calculation (PBE) on crystalline Nd4BBr2Cl at its relaxed geometry.

Properties
ΔE_f (raw) (eV/atom): -1.055
Volume (A^3/atom): 26.3
Uncorrected energy (eV/atom): -4.923

Unit cell a=7.1791 b=4.0312 c=7.6200 alpha=90.00 beta=107.70 gamma=90.00
Space group P2/m (No. 10)
Inequivalent atoms, fractional coordinates:
Nd  0.2064  0.0000  0.1958 (multiplicity 2)
Nd  0.2297  0.5000  0.7952 (multiplicity 2)
B  0.0000  0.5000  0.0000 (multiplicity 1)
Br  0.0000  0.0000  0.5000 (multiplicity 1)
Br  0.5000  0.5000  0.5000 (multiplicity 1)
Cl  0.5000  0.0000  0.0000 (multiplicity 1)

***

Entry 6:
VASP calculation (PBE) on crystalline AcZnAg2 at its relaxed geometry.

Properties
Energy relative to the elements (eV per formula unit): -0.2
Volume (A^3/atom): 23.3
Uncorrected energy (eV/atom): -2.833

Unit cell a=3.5395 b=3.5395 c=7.4331 alpha=90.00 beta=90.00 gamma=90.00
Space group P4/mmm (No. 123)
Inequivalent atoms, fractional coordinates:
Ac  0.0000  0.0000  0.0000 (multiplicity 1)
Zn  0.0000  0.0000  0.5000 (multiplicity 1)
Ag  0.5000  0.5000  0.3086 (multiplicity 2)

***

Entry 7:
VASP calculation (PBE) on crystalline LiPaAgSe3 at its relaxed geometry.

Properties
ΔE_f (raw) (eV/atom): -0.955
Volume (A^3/atom): 24.3
Uncorrected energy (eV/atom): -5.074

Unit cell a=8.6920 b=3.9327 c=8.8273 alpha=90.00 beta=105.31 gamma=90.00
Space group P2_1/m (No. 11)
Inequivalent atoms, fractional coordinates:
Li  0.0996  0.2500  0.1086 (multiplicity 2)
Pa  0.2883  0.7500  0.8169 (multiplicity 2)
Ag  0.2791  0.7500  0.4069 (multiplicity 2)
Se  0.0165  0.2500  0.7801 (multiplicity 2)
Se  0.3663  0.2500  0.0679 (multiplicity 2)
Se  0.3867  0.2500  0.6225 (multiplicity 2)

***

Entry 8:
VASP calculation (PBE) on crystalline Pr6Sn2Sb at its relaxed geometry.

Properties
ΔE_f (raw) (eV/atom): -0.657
Volume (A^3/atom): 32.5
Uncorrected energy (eV/atom): -5.191

Unit cell a=8.7025 b=8.7025 c=4.4613 alpha=90.00 beta=90.00 gamma=120.00
Space group P-62m (No. 189)
Inequivalent atoms, fractional coordinates:
Pr  0.0000  0.2671  0.0000 (multiplicity 3)
Pr  0.0000  0.5945  0.5000 (multiplicity 3)
Sn  0.3333  0.6667  0.0000 (multiplicity 2)
Sb  0.0000  0.0000  0.5000 (multiplicity 1)

***

Entry 9:
VASP calculation (PBE) on crystalline Dy3Er2Sc6 at its relaxed geometry.

Properties
Energy relative to the elements (eV per formula unit): 4.1
Volume (A^3/atom): 31.2
Uncorrected energy (eV/atom): -5.161

Unit cell a=5.2883 b=5.2883 c=42.5044 alpha=90.00 beta=90.00 gamma=120.00
Space group R-3m (No. 166, hexagonal axes)
Inequivalent atoms, fractional coordinates:
Dy  0.0000  0.0000  0.0000 (multiplicity 3)
Dy  0.0000  0.0000  0.3086 (multiplicity 6)
Er  0.0000  0.0000  0.4619 (multiplicity 6)
Sc  0.0000  0.0000  0.0821 (multiplicity 6)
Sc  0.0000  0.0000  0.2360 (multiplicity 6)
Sc  0.0000  0.0000  0.3908 (multiplicity 6)

***

Entry 10:
VASP calculation (PBE) on crystalline TlHg2S2 at its relaxed geometry.

Properties
ΔE_f (raw) (eV/atom): 0.035
Volume (A^3/atom): 25.6
Uncorrected energy (eV/atom): -2.210

Unit cell a=5.0960 b=5.0960 c=9.8483 alpha=90.00 beta=90.00 gamma=90.00
Space group I4/mmm (No. 139)
Inequivalent atoms, fractional coordinates:
Tl  0.0000  0.0000  0.0000 (multiplicity 2)
Hg  0.0000  0.0000  0.3573 (multiplicity 4)
S  0.0000  0.5000  0.2500 (multiplicity 4)

***

Entry 11:
VASP calculation (PBE) on crystalline TlCO2F at its relaxed geometry.

Properties
ΔE_f (raw) (eV/atom): 1.472
Volume (A^3/atom): 14.3
Uncorrected energy (eV/atom): -3.203

Unit cell a=4.5064 b=4.5064 c=3.5275 alpha=90.00 beta=90.00 gamma=90.00
Space group P4/mmm (No. 123)
Inequivalent atoms, fractional coordinates:
Tl  0.0000  0.0000  0.0000 (multiplicity 1)
C  0.5000  0.5000  0.0000 (multiplicity 1)
O  0.0000  0.5000  0.5000 (multiplicity 2)
F  0.5000  0.5000  0.5000 (multiplicity 1)

***

Entry 12:
VASP calculation (PBE) on crystalline La5Os3 at its relaxed geometry.

Properties
Energy relative to the elements (eV per formula unit): -0.4
Volume (A^3/atom): 25.5
Uncorrected energy (eV/atom): -7.344

Unit cell a=11.3324 b=11.3324 c=6.3561 alpha=90.00 beta=90.00 gamma=90.00
Space group I4/mcm (No. 140)
Inequivalent atoms, fractional coordinates:
La  0.0000  0.5000  0.2500 (multiplicity 4)
La  0.0872  0.2082  0.0000 (multiplicity 16)
Os  0.0000  0.0000  0.2500 (multiplicity 4)
Os  0.1527  0.3473  0.5000 (multiplicity 8)